[1]
Material: Pm7Dy6Ho16
Method: DFT, GGA-PBE
State: optimized geometry

## Properties
- formation energy from the elements (eV per formula unit) = 7.46
- SG = Fm-3m, No. 225
- energy (eV/cell) = -126.65
- calculated density (Mg/m³) = 7.809

abc: 11.166 11.166 11.166
angles: 60.00 60.00 60.00
Positions (direct):
1 Pm 0.000 0.000 0.000
2 Pm 0.000 0.000 0.500
3 Pm 0.000 0.500 0.000
4 Pm 0.000 0.500 0.500
5 Pm 0.500 0.000 0.000
6 Pm 0.500 0.000 0.500
7 Pm 0.500 0.500 0.000
8 Dy 0.261 0.261 0.739
9 Dy 0.261 0.739 0.261
10 Dy 0.261 0.739 0.739
11 Dy 0.739 0.261 0.261
12 Dy 0.739 0.261 0.739
13 Dy 0.739 0.739 0.261
14 Ho 0.051 0.650 0.650
15 Ho 0.128 0.128 0.128
16 Ho 0.128 0.128 0.615
17 Ho 0.128 0.615 0.128
18 Ho 0.350 0.350 0.350
19 Ho 0.350 0.350 0.949
20 Ho 0.350 0.949 0.350
21 Ho 0.385 0.872 0.872
22 Ho 0.615 0.128 0.128
23 Ho 0.650 0.051 0.650
24 Ho 0.650 0.650 0.051
25 Ho 0.650 0.650 0.650
26 Ho 0.872 0.385 0.872
27 Ho 0.872 0.872 0.385
28 Ho 0.872 0.872 0.872
29 Ho 0.949 0.350 0.350

---

[2]
Material: Y2PPb
Method: DFT, GGA-PBE
State: optimized geometry

## Properties
- excess energy over the best structure of this formula in the dataset (kJ/mol of atoms) = 109.1
- formation energy from the elements (eV per formula unit) = 0.18
- SG = F-43m, No. 216
- energy (eV/cell) = -87.46
- calculated density (Mg/m³) = 6.808

abc: 7.404 7.404 7.404
angles: 90.00 90.00 90.00
Positions (direct):
1 Y 0.000 0.000 0.000
2 Y 0.000 0.500 0.500
3 Y 0.250 0.250 0.250
4 Y 0.250 0.750 0.750
5 Y 0.500 0.000 0.500
6 Y 0.500 0.500 0.000
7 Y 0.750 0.250 0.750
8 Y 0.750 0.750 0.250
9 P 0.000 0.000 0.500
10 P 0.000 0.500 0.000
11 P 0.500 0.000 0.000
12 P 0.500 0.500 0.500
13 Pb 0.250 0.250 0.750
14 Pb 0.250 0.750 0.250
15 Pb 0.750 0.250 0.250
16 Pb 0.750 0.750 0.750

---

[3]
Material: YCu3Si2
Method: DFT, GGA-PBE
State: optimized geometry

## Properties
- SG = C2/m, No. 12
- energy (eV/cell) = -64.55
- calculated density (Mg/m³) = 6.007

abc: 7.564 7.564 7.161
angles: 114.35 114.35 30.07
Positions (direct):
1 Y 0.151 0.151 0.070
2 Y 0.849 0.849 0.930
3 Cu 0.037 0.037 0.370
4 Cu 0.315 0.315 0.551
5 Cu 0.402 0.402 0.316
6 Cu 0.598 0.598 0.684
7 Cu 0.685 0.685 0.449
8 Cu 0.963 0.963 0.630
9 Si 0.191 0.191 0.686
10 Si 0.481 0.481 0.826
11 Si 0.519 0.519 0.174
12 Si 0.809 0.809 0.314

---

[4]
Material: Cs6HF5
Method: DFT, GGA-PBE
State: optimized geometry

## Properties
- SG = C2/m, No. 12
- energy (eV/cell) = -44.67
- calculated density (Mg/m³) = 4.248

abc: 7.536 7.536 7.531
angles: 99.60 99.60 119.98
Positions (direct):
1 Cs 0.077 0.416 0.748
2 Cs 0.246 0.246 0.255
3 Cs 0.416 0.077 0.748
4 Cs 0.584 0.923 0.252
5 Cs 0.754 0.754 0.745
6 Cs 0.923 0.584 0.252
7 H 0.500 0.500 0.000
8 F 0.000 0.000 0.500
9 F 0.167 0.833 0.000
10 F 0.334 0.666 0.500
11 F 0.666 0.334 0.500
12 F 0.833 0.167 0.000

---

[5]
Material: RbMgHgS2
Method: DFT, GGA-PBE
State: optimized geometry

## Properties
- SG = P2/c, No. 13
- energy (eV/cell) = -30.32
- calculated density (Mg/m³) = 4.002

abc: 7.677 7.271 6.050
angles: 90.00 113.03 90.00
Positions (direct):
1 Rb 0.000 0.207 0.250
2 Rb 0.000 0.793 0.750
3 Mg 0.500 0.000 0.250
4 Mg 0.500 0.000 0.750
5 Hg 0.500 0.500 0.000
6 Hg 0.500 0.500 0.500
7 S 0.293 0.177 0.897
8 S 0.293 0.823 0.397
9 S 0.707 0.177 0.603
10 S 0.707 0.823 0.103

---

[6]
Material: Sm2ZrSc
Method: DFT, GGA-PBE
State: optimized geometry

## Properties
- excess energy over the best structure of this formula in the dataset (kJ/mol of atoms) = 1.7
- formation energy from the elements (eV per formula unit) = 0.51
- SG = R3m, No. 160
- energy (eV/cell) = -71.44
- calculated density (Mg/m³) = 6.426

abc: 3.437 3.437 33.103
angles: 90.00 90.00 120.00
Positions (direct):
1 Sm 0.000 0.000 0.000
2 Sm 0.000 0.000 0.164
3 Sm 0.333 0.667 0.667
4 Sm 0.333 0.667 0.831
5 Sm 0.667 0.333 0.333
6 Sm 0.667 0.333 0.497
7 Zr 0.000 0.000 0.749
8 Zr 0.333 0.667 0.415
9 Zr 0.667 0.333 0.082
10 Sc 0.000 0.000 0.581
11 Sc 0.333 0.667 0.248
12 Sc 0.667 0.333 0.915

---

[7]
Material: Li3PmIn4
Method: DFT, GGA-PBE
State: optimized geometry

## Properties
- formation energy from the elements (eV per formula unit) = -2.68
- SG = C2/m, No. 12
- energy (eV/cell) = -48.25
- calculated density (Mg/m³) = 5.831

abc: 8.385 4.899 9.065
angles: 90.00 107.03 90.00
Positions (direct):
1 Li 0.000 0.000 0.000
2 Li 0.247 0.500 0.235
3 Li 0.253 0.000 0.765
4 Li 0.500 0.500 0.000
5 Li 0.747 0.000 0.235
6 Li 0.753 0.500 0.765
7 Pm 0.000 0.500 0.500
8 Pm 0.500 0.000 0.500
9 In 0.111 0.000 0.329
10 In 0.124 0.500 0.884
11 In 0.376 0.000 0.116
12 In 0.389 0.500 0.671
13 In 0.611 0.500 0.329
14 In 0.624 0.000 0.884
15 In 0.876 0.500 0.116
16 In 0.889 0.000 0.671

---

[8]
Material: Pa2ZnO
Method: DFT, GGA-PBE
State: optimized geometry

## Properties
- SG = R-3m, No. 166
- energy (eV/cell) = -84.81
- calculated density (Mg/m³) = 10.820

abc: 3.187 3.187 28.448
angles: 90.00 90.00 120.00
Positions (direct):
1 Pa 0.000 0.000 0.110
2 Pa 0.000 0.000 0.890
3 Pa 0.333 0.667 0.557
4 Pa 0.333 0.667 0.777
5 Pa 0.667 0.333 0.223
6 Pa 0.667 0.333 0.443
7 Zn 0.000 0.000 0.000
8 Zn 0.333 0.667 0.667
9 Zn 0.667 0.333 0.333
10 O 0.000 0.000 0.500
11 O 0.333 0.667 0.167
12 O 0.667 0.333 0.833

---

[9]
Material: CrBI3
Method: DFT, GGA-PBE
State: optimized geometry

## Properties
- excess energy over the best structure of this formula in the dataset (kJ/mol of atoms) = 0.0
- SG = Pm-3m, No. 221
- energy (eV/cell) = -16.46
- calculated density (Mg/m³) = 4.337

abc: 5.538 5.538 5.538
angles: 90.00 90.00 90.00
Positions (direct):
1 Cr 0.000 0.000 0.000
2 B 0.500 0.500 0.500
3 I 0.000 0.000 0.500
4 I 0.000 0.500 0.000
5 I 0.500 0.000 0.000

---

[10]
Material: KSm2Cr2N6
Method: DFT, GGA-PBE
State: optimized geometry

## Properties
- SG = P-1, No. 2
- energy (eV/cell) = -86.06
- calculated density (Mg/m³) = 4.429

abc: 6.110 6.470 6.512
angles: 93.52 116.76 115.06
Positions (direct):
1 K 0.000 0.000 0.000
2 Sm 0.384 0.293 0.682
3 Sm 0.616 0.707 0.318
4 Cr 0.218 0.678 0.672
5 Cr 0.782 0.322 0.328
6 N 0.129 0.895 0.671
7 N 0.260 0.543 0.892
8 N 0.444 0.690 0.582
9 N 0.556 0.310 0.418
10 N 0.740 0.457 0.108
11 N 0.871 0.105 0.329

---

[11]
Material: Pr2PaTe4
Method: DFT, GGA-PBE
State: optimized geometry

## Properties
- SG = Cmcm, No. 63
- energy (eV/cell) = -78.87
- calculated density (Mg/m³) = 6.945

abc: 7.770 7.770 15.215
angles: 90.00 90.00 147.82
Positions (direct):
1 Pr 0.136 0.864 0.568
2 Pr 0.136 0.864 0.932
3 Pr 0.864 0.136 0.068
4 Pr 0.864 0.136 0.432
5 Pa 0.375 0.625 0.750
6 Pa 0.625 0.375 0.250
7 Te 0.029 0.971 0.750
8 Te 0.219 0.781 0.129
9 Te 0.219 0.781 0.371
10 Te 0.500 0.500 0.000
11 Te 0.500 0.500 0.500
12 Te 0.781 0.219 0.629
13 Te 0.781 0.219 0.871
14 Te 0.971 0.029 0.250

---

[12]
Material: Tl2ReSbMo
Method: DFT, GGA-PBE
State: optimized geometry

## Properties
- SG = P4/mmm, No. 123
- energy (eV/cell) = -24.09
- calculated density (Mg/m³) = 8.917

abc: 5.422 5.422 5.148
angles: 90.00 90.00 90.00
Positions (direct):
1 Tl 0.000 0.500 0.000
2 Tl 0.500 0.000 0.000
3 Re 0.000 0.000 0.500
4 Sb 0.500 0.500 0.500
5 Mo 0.500 0.500 0.000